A plane-wave DFT calculation with PBE was carried out for crystalline Tb7Y3Tl2 at its relaxed geometry.

```
Tb7Y3Tl2
1.0
5.619 0.000 0.000
0.000 3.631 0.000
-1.198 0.000 18.409
Tb Y Tl
7 3 2
direct
0.000 0.000 0.000
0.166 0.500 0.171
0.258 0.500 0.540
0.335 0.000 0.851
0.665 0.000 0.149
0.742 0.500 0.460
0.834 0.500 0.829
0.222 0.000 0.365
0.500 0.500 0.000
0.778 0.000 0.635
0.297 0.500 0.707
0.703 0.500 0.293
```

Results
Space-group type: No. 10
DFT formation energy, eV per atom: -0.03
Uncorrected energy, eV per atom: -4.736

A plane-wave DFT calculation with PBE was carried out for crystalline LaNdCuN2 at its relaxed geometry.

```
LaNdCuN2
1.0
5.445 0.000 0.000
0.000 5.139 0.000
-0.005 0.000 6.840
La Nd Cu N
2 2 2 4
direct
0.000 0.001 0.250
0.000 0.999 0.750
0.500 0.500 0.250
0.500 0.500 0.750
0.500 0.000 0.000
0.500 0.000 0.500
0.252 0.254 0.000
0.252 0.746 0.500
0.748 0.254 0.500
0.748 0.746 0.000
```

Results
Space-group type: No. 13
Uncorrected energy, eV per atom: -6.795
E_form (uncorrected), eV/atom: -0.71

A plane-wave DFT calculation with PBE was carried out for crystalline LiZn3Ag2 at its relaxed geometry.

```
LiZn3Ag2
1.0
5.926 -2.029 0.000
5.926 2.029 0.000
-3.940 0.000 7.845
Li Zn Ag
2 6 4
direct
0.128 0.128 0.128
0.872 0.872 0.872
0.038 0.038 0.373
0.207 0.207 0.873
0.378 0.378 0.383
0.622 0.622 0.617
0.793 0.793 0.127
0.962 0.962 0.627
0.292 0.292 0.632
0.448 0.448 0.121
0.552 0.552 0.879
0.708 0.708 0.368
```

Results
Space-group type: No. 12
Relative energy among the computed polymorphs, eV per atom: 0.0000
DFT formation energy, eV per atom: -0.13
Uncorrected energy, eV per atom: -2.033

A plane-wave DFT calculation with PBE was carried out for crystalline LiZnIn2 at its relaxed geometry.

```
LiZnIn2
1.0
1.644 0.949 9.153
-1.644 0.949 9.153
0.000 -1.898 9.153
Li Zn In
1 1 2
direct
0.000 0.000 0.000
0.500 0.500 0.500
0.249 0.249 0.249
0.751 0.751 0.751
```

Results
Space-group type: No. 166
DFT formation energy, eV per atom: -0.08
Uncorrected energy, eV per atom: -2.242

A plane-wave DFT calculation with PBE was carried out for crystalline TbDyTcNi at its relaxed geometry.

```
TbDyTcNi
1.0
0.000 3.404 3.404
3.404 0.000 3.404
3.404 3.404 0.000
Tb Dy Tc Ni
1 1 1 1
direct
0.000 0.000 0.000
0.500 0.500 0.500
0.750 0.750 0.750
0.250 0.250 0.250
```

Results
Space-group type: No. 216
DFT formation energy, eV per atom: -0.10
Uncorrected energy, eV per atom: -6.449

A plane-wave DFT calculation with PBE was carried out for crystalline LiNpZnO5 at its relaxed geometry.

```
LiNpZnO5
1.0
3.170 -5.047 0.000
3.170 5.047 0.000
-2.481 0.000 7.177
Li Np Zn O
2 2 2 10
direct
0.028 0.972 0.750
0.972 0.028 0.250
0.000 0.500 0.000
0.500 0.000 0.500
0.469 0.531 0.750
0.531 0.469 0.250
0.131 0.810 0.939
0.190 0.869 0.561
0.199 0.362 0.853
0.335 0.665 0.250
0.362 0.199 0.353
0.638 0.801 0.647
0.665 0.335 0.750
0.801 0.638 0.147
0.810 0.131 0.439
0.869 0.190 0.061
```

Results
Space-group type: No. 15
Uncorrected energy, eV per atom: -7.256
E_form (uncorrected), eV/atom: -2.14

A plane-wave DFT calculation with PBE was carried out for crystalline NbAg2B2 at its relaxed geometry.

```
NbAg2B2
1.0
6.750 0.000 0.000
0.000 6.750 0.000
0.000 0.000 2.902
Nb Ag B
2 4 4
direct
0.000 0.000 0.000
0.500 0.500 0.000
0.144 0.356 0.500
0.356 0.856 0.500
0.644 0.144 0.500
0.856 0.644 0.500
0.164 0.664 0.000
0.336 0.164 0.000
0.664 0.836 0.000
0.836 0.336 0.000
```

Results
Space-group type: No. 127
Relative energy among the computed polymorphs, eV per atom: 0.3779
DFT formation energy, eV per atom: 0.78
Uncorrected energy, eV per atom: -5.048

A plane-wave DFT calculation with PBE was carried out for crystalline ZrReB2Pt at its relaxed geometry.

```
ZrReB2Pt
1.0
4.003 0.000 0.000
0.000 4.003 0.000
0.000 0.000 5.550
Zr Re B Pt
1 1 2 1
direct
0.000 0.000 0.000
0.500 0.500 0.000
0.000 0.500 0.500
0.500 0.000 0.500
0.000 0.000 0.500
```

Results
Space-group type: No. 123
DFT formation energy, eV per atom: 1.14
Uncorrected energy, eV per atom: -6.936